(1)
This record from Alexandria via LeMat-Bulk describes a crystal of TeRuS2Cl relaxed with PBEsol. The functional is meta-GGA SCAN.

The density of states at the Fermi level comes out at 0.940 states/eV per atom. For the energy relative to the elements, uncorrected, the calculation gives 0.95 eV/atom.

Cell and atoms, written as POSCAR:
```
TeRuS2Cl
1.0
5.0114 0.0000 0.0000
0.0000 5.0114 0.0000
0.0000 0.0000 5.0327
Te Ru S Cl
1 1 2 1
direct
0.0000 0.0000 0.0000
0.5000 0.5000 0.5000
0.0000 0.5000 0.0000
0.5000 0.0000 0.0000
0.0000 0.0000 0.5000
```

***

(2)
This record from Alexandria via LeMat-Bulk describes a crystal of ZnRuSCl2 relaxed with PBEsol. The functional is meta-GGA SCAN.

The density of states at the Fermi level comes out at 0.293 states/eV per atom. For the energy relative to the elements, uncorrected, the calculation gives 0.32 eV/atom.

Cell and atoms, written as POSCAR:
```
ZnRuSCl2
1.0
4.5816 0.0000 0.0000
0.0000 4.5816 0.0000
0.0000 0.0000 4.8320
Zn Ru S Cl
1 1 1 2
direct
0.0000 0.0000 0.0000
0.5000 0.5000 0.5000
0.0000 0.0000 0.5000
0.0000 0.5000 0.0000
0.5000 0.0000 0.0000
```

***

(3)
This record from Alexandria via LeMat-Bulk describes a crystal of SbRu2Cl relaxed with PBEsol. The functional is meta-GGA SCAN.

The density of states at the Fermi level comes out at 0.746 states/eV per atom. For the energy relative to the elements, uncorrected, the calculation gives 0.33 eV/atom.

Cell and atoms, written as POSCAR:
```
SbRu2Cl
1.0
1.5395 0.8888 7.8026
-1.5395 0.8888 7.8026
0.0000 -1.7777 7.8026
Sb Ru Cl
1 2 1
direct
0.0000 0.0000 0.0000
0.2505 0.2505 0.2505
0.7495 0.7495 0.7495
0.5000 0.5000 0.5000
```

***

(4)
This record from Alexandria via LeMat-Bulk describes a crystal of SbRuCl relaxed with PBEsol. The functional is meta-GGA SCAN.

The density of states at the Fermi level comes out at 1.069 states/eV per atom. For the energy relative to the elements, uncorrected, the calculation gives 1.38 eV/atom.

Cell and atoms, written as POSCAR:
```
SbRuCl
1.0
0.0000 3.0833 3.0833
3.0833 0.0000 3.0833
3.0833 3.0833 0.0000
Sb Ru Cl
1 1 1
direct
0.0000 0.0000 0.0000
0.5000 0.5000 0.5000
0.2500 0.2500 0.2500
```

***

(5)
This record from Alexandria via LeMat-Bulk describes a crystal of Sb2RuCl relaxed with PBEsol. The functional is meta-GGA SCAN.

The density of states at the Fermi level comes out at 0.398 states/eV per atom. For the energy relative to the elements, uncorrected, the calculation gives -0.09 eV/atom.

Cell and atoms, written as POSCAR:
```
Sb2RuCl
1.0
3.6120 0.0000 0.0000
0.0000 2.5942 4.6399
0.0000 -2.5942 4.6399
Sb Ru Cl
2 1 1
direct
0.0000 0.0000 0.0000
0.5000 0.2929 0.2929
0.5000 0.8101 0.8101
0.0000 0.6151 0.6151
```

***

(6)
This record from Alexandria via LeMat-Bulk describes a crystal of SbRu2Cl relaxed with PBEsol. The functional is meta-GGA SCAN.

The density of states at the Fermi level comes out at 0.876 states/eV per atom. For the energy relative to the elements, uncorrected, the calculation gives 0.34 eV/atom.

Cell and atoms, written as POSCAR:
```
SbRu2Cl
1.0
2.9973 0.0000 0.0000
0.0000 3.8104 0.0000
0.0000 0.0000 5.6290
Sb Ru Cl
1 2 1
direct
0.0000 0.0000 0.0000
0.0000 0.0000 0.4969
0.5000 0.5000 0.7942
0.5000 0.5000 0.3939
```